# 1
Entry from Alexandria: a relaxed TcRhSe2 crystal (GGA-PBEsol).

Its formation energy from raw total energies is 132 meV per atom. The total DFT energy (no corrections) is -6.644 eV/atom.

Lattice parameters (Å, degrees): 5.433 5.433 5.433 147.46 133.34 58.04
Positions (direct):
Tc 0.000 0.000 0.000
Rh 0.289 0.789 0.500
Se 0.512 0.512 0.000
Se 0.790 0.290 0.500

# 2
Entry from Alexandria: a relaxed TcRhSe2 crystal (GGA-PBEsol).

Its formation energy from raw total energies is 327 meV per atom. The total DFT energy (no corrections) is -6.449 eV/atom.

Lattice parameters (Å, degrees): 5.169 5.169 5.169 138.26 138.26 60.50
Positions (direct):
Tc 0.000 0.000 0.000
Rh 0.750 0.250 0.500
Se 0.250 0.750 0.500
Se 0.500 0.500 0.000

# 3
Entry from Alexandria: a relaxed TcRhSe2 crystal (GGA-PBEsol).

Its formation energy from raw total energies is -117 meV per atom. The total DFT energy (no corrections) is -6.893 eV/atom.

Lattice parameters (Å, degrees): 3.008 3.008 7.598 90.00 90.00 90.00
Positions (direct):
Tc 0.000 0.000 0.000
Rh 0.500 0.500 0.256
Se 0.000 0.000 0.424
Se 0.500 0.500 0.826

Summary of ΔE to the lowest computed polymorph in kJ/mol of formula units
96 171 0
(order as listed above)
Summary of M_tot in μB per formula unit
0.0 0.0 0.0
(order as listed above)